1.
# NdDyZn4

A relaxed NdDyZn4 crystal (PBE-GGA, Alexandria).

The structure in POSCAR format:
```
NdDyZn4
1.0
3.790 0.000 0.000
0.008 3.793 0.000
0.017 0.052 9.896
Nd Dy Zn
1 1 4
Cartesian
0.000 0.000 0.000
1.907 1.923 4.948
0.009 1.908 2.535
3.806 1.937 7.361
1.899 0.018 2.537
1.916 3.828 7.358
```

Distance to the lowest polymorph of the same formula ... 364 meV/atom
Calculated density ... 6.63 g cm⁻³
ΔH_f (0 K) ... 0.01 eV/atom

2.
# Sr6Sb3O

A relaxed Sr6Sb3O crystal (PBE-GGA, Alexandria).

The structure in POSCAR format:
```
Sr6Sb3O
1.0
6.371 -7.926 0.000
6.371 7.926 0.000
0.000 0.000 7.648
Sr Sb O
12 6 2
Cartesian
6.371 7.104 3.824
4.503 3.806 4.009
6.371 4.497 0.518
4.345 0.277 0.479
4.345 -0.277 4.303
8.240 3.806 4.009
4.503 -3.806 0.185
8.398 0.277 0.479
8.398 -0.277 4.303
6.371 -4.497 4.342
8.240 -3.806 0.185
6.371 -7.104 0.000
2.270 1.690 2.547
2.270 -1.690 6.371
6.371 1.849 6.001
6.371 -1.849 2.176
10.473 1.690 2.547
10.473 -1.690 6.371
6.371 4.876 2.906
6.371 -4.876 6.730
```

Calculated density ... 3.90 g cm⁻³
Raw formation energy ... -1273 meV/atom